Material: Tm5Tl2Pb2
Method: DFT, GGA-PBE
State: optimized geometry

a b c (Å): 9.094 6.346 10.421
angles (deg): 107.73 115.87 90.00
Positions (direct):
Tm: 0.839 0.321 0.178
Tm: 0.745 0.232 0.500
Tm: 0.161 0.143 0.822
Pb: 0.000 0.982 0.000
Tm: 0.294 0.138 0.313
Tm: 0.481 0.326 0.687
Tl: 0.141 0.560 0.157
Pb: 0.500 0.482 0.000
Tm: 0.706 0.826 0.687
Pb: 0.901 0.732 0.500
Tl: 0.484 0.903 0.843
Tm: 0.255 0.732 0.500
Tl: 0.859 0.403 0.843
Pb: 0.099 0.232 0.500
Tm: 0.839 0.821 0.178
Tm: 0.161 0.643 0.822
Tm: 0.519 0.638 0.313
Tl: 0.516 0.060 0.157

Output
Excess energy over the best structure of this formula in the dataset   107.2 meV per atom



Material: Tb2Pr4TmSc
Method: DFT, GGA-PBE
State: optimized geometry

a b c (Å): 5.144 5.132 11.159
angles (deg): 62.62 90.00 90.00
Positions (direct):
Pr: 0.500 0.254 0.746
Tm: 0.500 0.500 0.000
Tb: 0.500 0.000 0.500
Sc: 0.000 0.500 0.500
Pr: 0.000 0.246 0.254
Pr: 0.500 0.746 0.254
Tb: 0.000 0.000 0.000
Pr: 0.000 0.754 0.746



Material: Sc7Tl2Au2
Method: DFT, GGA-PBE
State: optimized geometry

a b c (Å): 6.558 6.773 6.558
angles (deg): 90.00 106.14 90.00
Positions (direct):
Sc: 0.500 0.753 0.500
Tl: 0.813 0.500 0.813
Sc: 0.500 0.247 0.500
Au: 0.712 0.000 0.288
Sc: 0.000 0.739 0.500
Au: 0.288 0.000 0.712
Sc: 0.500 0.261 0.000
Sc: 0.000 0.000 0.000
Tl: 0.187 0.500 0.187
Sc: 0.500 0.739 0.000
Sc: 0.000 0.261 0.500



Material: LiCeMgGe
Method: DFT, GGA-PBE
State: optimized geometry

a b c (Å): 4.928 4.928 4.928
angles (deg): 60.00 60.00 60.00
Positions (direct):
Mg: 0.500 0.500 0.500
Ce: 0.000 0.000 0.000
Ge: 0.250 0.250 0.250
Li: 0.750 0.750 0.750



| no. | formation energy (eV/atom) | V (Å³/f.u.) | density (g cm⁻³) |
| --- | --- | --- | --- |
| 1 | -0.283 | 254.59 | 10.88 |
| 2 | 0.030 | 261.61 | 6.95 |
| 3 | -0.194 | 279.80 | 6.63 |
| 4 | -0.266 | 84.64 | 4.79 |